# Nd2DyY7 (PBE, relaxed)
# Offset from the most stable computed form ... 141 meV per atom
# Crystal system ... orthorhombic
data_Nd2DyY7
_cell_length_a 6.549
_cell_length_b 29.068
_cell_length_c 3.531
_cell_angle_alpha 90.00
_cell_angle_beta 90.00
_cell_angle_gamma 90.00
_symmetry_space_group_name_H-M 'C m m m'
_symmetry_Int_Tables_number 65
_symmetry_space_group_name_Hall '-C 2 2'
loop_
_atom_site_label
_atom_site_type_symbol
_atom_site_fract_x
_atom_site_fract_y
_atom_site_fract_z
Nd1 Nd 0.000 0.207 0.000
Dy1 Dy 0.000 0.500 0.500
Y1 Y 0.000 0.000 0.000
Y2 Y 0.000 0.314 0.500
Y3 Y 0.246 0.402 0.000